The following is a GGA-PBEsol calculation of a relaxed structure of CoReSe2Br, from Alexandria.

Structure (extended XYZ):
```
5
Lattice="-0.039 -2.375 4.074 0.268 -4.069 -2.369 5.288 0.238 0.189" Properties=species:S:1:pos:R:3 pbc="T T T"
Co 2.758 -3.103 0.947
Re 0.000 0.000 0.000
Se 0.134 -2.034 -1.185
Se -0.020 -1.188 2.037
Br 2.644 0.119 0.095
```

DFT total energy   -5.080 eV per atom
DOS(E_F)   1.090 states/eV per atom
Raw formation energy   1048 meV per atom
Total magnetization   2.344 Bohr magnetons per cell